# PBE V2GeS, relaxed
data_V2GeS
_chemical_formula_sum 'V2 Ge1 S1'
_cell_length_a 2.930
_cell_length_b 2.930
_cell_length_c 7.753
_cell_angle_alpha 79.11
_cell_angle_beta 79.11
_cell_angle_gamma 60.00
_space_group_name_H-M_alt 'P 1'
_space_group_IT_number 1
_space_group_name_Hall 'P 1'
loop_
_atom_site_label
_atom_site_type_symbol
_atom_site_fract_x
_atom_site_fract_y
_atom_site_fract_z
S1 S 0.000 0.000 0.000
V1 V 0.742 0.742 0.774
V2 V 0.258 0.258 0.226
Ge1 Ge 0.500 0.500 0.500
# ΔE to the lowest computed polymorph = 0 meV/atom
# DOS at the Fermi energy = 4.25 states/eV/f.u.